Entry 1:
VASP calculation (PBE) on Ba2CoCS after structural relaxation.

```
data_Ba2CoCS
_chemical_formula_sum 'Ba2 Co1 C1 S1'
_symmetry_space_group_name_H-M 'P 4/m m m'
_symmetry_Int_Tables_number 123
_symmetry_space_group_name_Hall '-P 4 2'
_cell_length_a 5.9950
_cell_length_b 5.9950
_cell_length_c 4.0994
_cell_angle_alpha 90.00
_cell_angle_beta 90.00
_cell_angle_gamma 90.00
loop_
_atom_site_label
_atom_site_fract_x
_atom_site_fract_y
_atom_site_fract_z
_atom_site_occupancy
Ba1 0.0000 0.5000 0.0000 1
Co1 0.0000 0.0000 0.5000 1
C1 0.5000 0.5000 0.5000 1
S1 0.0000 0.0000 0.0000 1
```

- Raw total energy: -4.465 eV/atom
- M_tot: 3.0 μB/f.u.
- Formation energy (no corrections): 2.0 eV/f.u.

=====

Entry 2:
VASP calculation (PBE) on Ti5Zn2Pt after structural relaxation.

```
data_Ti5Zn2Pt
_chemical_formula_sum 'Ti20 Zn8 Pt4'
_symmetry_space_group_name_H-M 'I 4/m c m'
_symmetry_Int_Tables_number 140
_symmetry_space_group_name_Hall '-I 4 2c'
_cell_length_a 6.6164
_cell_length_b 6.6164
_cell_length_c 12.0344
_cell_angle_alpha 90.00
_cell_angle_beta 90.00
_cell_angle_gamma 90.00
loop_
_atom_site_label
_atom_site_fract_x
_atom_site_fract_y
_atom_site_fract_z
_atom_site_occupancy
Ti1 0.0000 0.0000 0.0000 1
Ti2 0.1595 0.3405 0.1585 1
Zn1 0.1327 0.3673 0.5000 1
Pt1 0.0000 0.0000 0.2500 1
```

- Formation energy: -241 meV per atom
- Raw total energy: -6.249 eV/atom
- M_tot: 0.0 μB/f.u.
- E above lowest polymorph: 0.089 eV/atom

=====

Entry 3:
VASP calculation (PBE) on RbZrSi after structural relaxation.

```
data_RbZrSi
_chemical_formula_sum 'Rb2 Zr2 Si2'
_symmetry_space_group_name_H-M 'P -1'
_symmetry_Int_Tables_number 2
_cell_length_a 3.8362
_cell_length_b 3.9191
_cell_length_c 13.5826
_cell_angle_alpha 81.83
_cell_angle_beta 89.18
_cell_angle_gamma 90.00
loop_
_symmetry_equiv_pos_as_xyz
'x,y,z'
'-x,-y,-z'
loop_
_atom_site_label
_atom_site_fract_x
_atom_site_fract_y
_atom_site_fract_z
_atom_site_occupancy
Rb1 0.2476 0.3354 0.3347 1
Zr1 0.2353 0.0441 0.9102 1
Si1 0.2671 0.4644 0.0721 1
```

- Raw total energy: -5.151 eV/atom
- M_tot: 0.0 μB/f.u.
- Formation energy (no corrections): -0.5 eV/f.u.
- E above lowest polymorph: 0.101 eV/atom

=====

Entry 4:
VASP calculation (PBE) on Ac2LaSm4 after structural relaxation.

```
data_Ac2LaSm4
_chemical_formula_sum 'Ac4 La2 Sm8'
_symmetry_space_group_name_H-M 'I 4/m m m'
_symmetry_Int_Tables_number 139
_symmetry_space_group_name_Hall '-I 4 2'
_cell_length_a 5.7297
_cell_length_b 5.7297
_cell_length_c 18.1320
_cell_angle_alpha 90.00
_cell_angle_beta 90.00
_cell_angle_gamma 90.00
loop_
_atom_site_label
_atom_site_fract_x
_atom_site_fract_y
_atom_site_fract_z
_atom_site_occupancy
Ac1 0.0000 0.0000 0.1287 1
La1 0.0000 0.0000 0.5000 1
Sm1 0.0000 0.0000 0.3295 1
Sm2 0.0000 0.5000 0.0000 1
```

- Formation energy: 561 meV per atom
- Raw total energy: -4.013 eV/atom
- M_tot: 0.0 μB/f.u.
- E above lowest polymorph: 0.520 eV/atom

=====

Entry 5:
VASP calculation (PBE) on RbNaAu3 after structural relaxation.

```
data_RbNaAu3
_chemical_formula_sum 'Rb1 Na1 Au3'
_symmetry_space_group_name_H-M 'P m -3 m'
_symmetry_Int_Tables_number 221
_symmetry_space_group_name_Hall '-P 4 2 3'
_cell_length_a 5.4029
_cell_length_b 5.4029
_cell_length_c 5.4029
_cell_angle_alpha 90.00
_cell_angle_beta 90.00
_cell_angle_gamma 90.00
loop_
_atom_site_label
_atom_site_fract_x
_atom_site_fract_y
_atom_site_fract_z
_atom_site_occupancy
Rb1 0.0000 0.0000 0.0000 1
Na1 0.5000 0.5000 0.5000 1
Au1 0.0000 0.5000 0.5000 1
```

- Formation energy: 209 meV per atom
- Raw total energy: -2.214 eV/atom
- M_tot: 0.0 μB/f.u.
- E above lowest polymorph: 0.000 eV/atom

=====

Entry 6:
VASP calculation (PBE) on YBeP2 after structural relaxation.

```
data_YBeP2
_chemical_formula_sum 'Y1 Be1 P2'
_symmetry_space_group_name_H-M 'P 1 m 1'
_symmetry_Int_Tables_number 6
_cell_length_a 3.9074
_cell_length_b 3.8805
_cell_length_c 5.7046
_cell_angle_alpha 90.00
_cell_angle_beta 109.92
_cell_angle_gamma 90.00
loop_
_symmetry_equiv_pos_as_xyz
'x,y,z'
'x,-y,z'
loop_
_atom_site_label
_atom_site_fract_x
_atom_site_fract_y
_atom_site_fract_z
_atom_site_occupancy
Y1 0.0000 0.0000 0.0000 1
Be1 0.3894 0.5000 0.6830 1
P1 0.3767 0.0000 0.5347 1
P2 0.5303 0.5000 0.0806 1
```

- Formation energy: -536 meV per atom
- Raw total energy: -5.788 eV/atom
- M_tot: 0.0 μB/f.u.

=====

Entry 7:
VASP calculation (PBE) on KLiAuO2 after structural relaxation.

```
data_KLiAuO2
_chemical_formula_sum 'K4 Li4 Au4 O8'
_symmetry_space_group_name_H-M 'C m m e'
_symmetry_Int_Tables_number 67
_symmetry_space_group_name_Hall '-C 2a 2'
_cell_length_a 5.2859
_cell_length_b 11.5553
_cell_length_c 5.3942
_cell_angle_alpha 90.00
_cell_angle_beta 90.00
_cell_angle_gamma 90.00
loop_
_atom_site_label
_atom_site_fract_x
_atom_site_fract_y
_atom_site_fract_z
_atom_site_occupancy
K1 0.0000 0.2500 0.1961 1
Li1 0.2500 0.0000 0.0000 1
Au1 0.0000 0.0000 0.5000 1
O1 0.0000 0.0950 0.8108 1
```

- Raw total energy: -4.256 eV/atom
- M_tot: 0.4 μB/f.u.
- Formation energy (no corrections): -5.1 eV/f.u.

=====

Entry 8:
VASP calculation (PBE) on Ba4Ho after structural relaxation.

```
data_Ba4Ho
_chemical_formula_sum 'Ba4 Ho1'
_symmetry_space_group_name_H-M 'P m -3 m'
_symmetry_Int_Tables_number 221
_symmetry_space_group_name_Hall '-P 4 2 3'
_cell_length_a 6.7370
_cell_length_b 6.7370
_cell_length_c 6.7370
_cell_angle_alpha 90.00
_cell_angle_beta 90.00
_cell_angle_gamma 90.00
loop_
_atom_site_label
_atom_site_fract_x
_atom_site_fract_y
_atom_site_fract_z
_atom_site_occupancy
Ba1 0.0000 0.0000 0.0000 1
Ba2 0.0000 0.5000 0.5000 1
Ho1 0.5000 0.5000 0.5000 1
```

- Formation energy: 456 meV per atom
- Raw total energy: -1.998 eV/atom
- M_tot: 0.0 μB/f.u.

=====

Entry 9:
VASP calculation (PBE) on ScBeO2 after structural relaxation.

```
data_ScBeO2
_chemical_formula_sum 'Sc3 Be3 O6'
_symmetry_space_group_name_H-M 'R -3 m'
_symmetry_Int_Tables_number 166
_symmetry_space_group_name_Hall '-R 3 2"'
_cell_length_a 2.9356
_cell_length_b 2.9356
_cell_length_c 17.0880
_cell_angle_alpha 90.00
_cell_angle_beta 90.00
_cell_angle_gamma 120.00
loop_
_atom_site_label
_atom_site_fract_x
_atom_site_fract_y
_atom_site_fract_z
_atom_site_occupancy
Sc1 0.0000 0.0000 0.0000 1
Be1 0.0000 0.0000 0.5000 1
O1 0.0000 0.0000 0.1127 1
```

- Raw total energy: -6.656 eV/atom
- M_tot: 0.0 μB/f.u.
- Formation energy (no corrections): -6.7 eV/f.u.

=====

Entry 10:
VASP calculation (PBE) on TbGaBiAu after structural relaxation.

```
data_TbGaBiAu
_chemical_formula_sum 'Tb4 Ga4 Bi4 Au4'
_symmetry_space_group_name_H-M 'F -4 3 m'
_symmetry_Int_Tables_number 216
_symmetry_space_group_name_Hall 'F -4 2 3'
_cell_length_a 7.2917
_cell_length_b 7.2917
_cell_length_c 7.2917
_cell_angle_alpha 90.00
_cell_angle_beta 90.00
_cell_angle_gamma 90.00
loop_
_atom_site_label
_atom_site_fract_x
_atom_site_fract_y
_atom_site_fract_z
_atom_site_occupancy
Tb1 0.0000 0.0000 0.0000 1
Ga1 0.2500 0.2500 0.7500 1
Bi1 0.0000 0.0000 0.5000 1
Au1 0.2500 0.2500 0.2500 1
```

- Formation energy: -394 meV per atom
- Raw total energy: -4.098 eV/atom
- M_tot: 0.0 μB/f.u.

=====

Entry 11:
VASP calculation (PBE) on Ce2InCu2Ni5 after structural relaxation.

```
data_Ce2InCu2Ni5
_chemical_formula_sum 'Ce4 In2 Cu4 Ni10'
_symmetry_space_group_name_H-M 'P 4/m b m'
_symmetry_Int_Tables_number 127
_symmetry_space_group_name_Hall '-P 4 2ab'
_cell_length_a 9.2182
_cell_length_b 9.2182
_cell_length_c 3.6903
_cell_angle_alpha 90.00
_cell_angle_beta 90.00
_cell_angle_gamma 90.00
loop_
_atom_site_label
_atom_site_fract_x
_atom_site_fract_y
_atom_site_fract_z
_atom_site_occupancy
Ce1 0.1797 0.3203 0.0000 1
In1 0.0000 0.0000 0.0000 1
Cu1 0.1162 0.6162 0.0000 1
Ni1 0.0000 0.5000 0.5000 1
Ni2 0.0642 0.7849 0.5000 1
```

- Formation energy: -213 meV per atom
- Raw total energy: -5.384 eV/atom
- M_tot: 0.6 μB/f.u.

=====

Entry 12:
VASP calculation (PBE) on Zr2CuPt after structural relaxation.

```
data_Zr2CuPt
_chemical_formula_sum 'Zr4 Cu2 Pt2'
_symmetry_space_group_name_H-M 'P 1 21/m 1'
_symmetry_Int_Tables_number 11
_cell_length_a 5.5571
_cell_length_b 4.3211
_cell_length_c 6.7964
_cell_angle_alpha 90.00
_cell_angle_beta 113.23
_cell_angle_gamma 90.00
loop_
_symmetry_equiv_pos_as_xyz
'x,y,z'
'-x,-y,-z'
'-x,y+1/2,-z'
'x,-y+1/2,z'
loop_
_atom_site_label
_atom_site_fract_x
_atom_site_fract_y
_atom_site_fract_z
_atom_site_occupancy
Zr1 0.2116 0.2500 0.4183 1
Zr2 0.2192 0.2500 0.9159 1
Cu1 0.3274 0.7500 0.2000 1
Pt1 0.3448 0.7500 0.7061 1
```

- Formation energy: -626 meV per atom
- Raw total energy: -7.434 eV/atom
- M_tot: 0.0 μB/f.u.

=====

Entry 13:
VASP calculation (PBE) on TbNpSn after structural relaxation.

```
data_TbNpSn
_chemical_formula_sum 'Tb4 Np4 Sn4'
_symmetry_space_group_name_H-M 'C 1 2/m 1'
_symmetry_Int_Tables_number 12
_cell_length_a 16.8989
_cell_length_b 3.6663
_cell_length_c 4.9635
_cell_angle_alpha 90.00
_cell_angle_beta 94.27
_cell_angle_gamma 90.00
loop_
_symmetry_equiv_pos_as_xyz
'x,y,z'
'-x,-y,-z'
'-x,y,-z'
'x,-y,z'
'x+1/2,y+1/2,z'
'-x+1/2,-y+1/2,-z'
'-x+1/2,y+1/2,-z'
'x+1/2,-y+1/2,z'
loop_
_atom_site_label
_atom_site_fract_x
_atom_site_fract_y
_atom_site_fract_z
_atom_site_occupancy
Tb1 0.0699 0.0000 0.2613 1
Np1 0.2397 0.5000 0.3385 1
Sn1 0.1082 0.5000 0.7749 1
```

- Formation energy: -284 meV per atom
- Raw total energy: -7.475 eV/atom
- M_tot: 2.2 μB/f.u.

=====

Entry 14:
VASP calculation (PBE) on Pm4TlIn after structural relaxation.

```
data_Pm4TlIn
_chemical_formula_sum 'Pm4 Tl1 In1'
_symmetry_space_group_name_H-M 'P m m m'
_symmetry_Int_Tables_number 47
_cell_length_a 3.5930
_cell_length_b 5.7635
_cell_length_c 9.3571
_cell_angle_alpha 90.00
_cell_angle_beta 90.00
_cell_angle_gamma 90.00
loop_
_symmetry_equiv_pos_as_xyz
'x,y,z'
'-x,-y,-z'
'-x,-y,z'
'x,y,-z'
'x,-y,-z'
'-x,y,z'
'-x,y,-z'
'x,-y,z'
loop_
_atom_site_label
_atom_site_fract_x
_atom_site_fract_y
_atom_site_fract_z
_atom_site_occupancy
Pm1 0.0000 0.0000 0.1974 1
Pm2 0.5000 0.5000 0.2999 1
Tl1 0.5000 0.0000 0.5000 1
In1 0.0000 0.5000 0.0000 1
```

- Formation energy: -68 meV per atom
- Raw total energy: -4.086 eV/atom
- M_tot: 0.0 μB/f.u.
- E above lowest polymorph: 0.045 eV/atom

=====

Entry 15:
VASP calculation (PBE) on TbCePmTh after structural relaxation.

```
data_TbCePmTh
_chemical_formula_sum 'Tb3 Ce3 Pm3 Th3'
_symmetry_space_group_name_H-M 'R 3 m'
_symmetry_Int_Tables_number 160
_symmetry_space_group_name_Hall 'R 3 -2"'
_cell_length_a 3.5647
_cell_length_b 3.5647
_cell_length_c 34.5588
_cell_angle_alpha 90.00
_cell_angle_beta 90.00
_cell_angle_gamma 120.00
loop_
_atom_site_label
_atom_site_fract_x
_atom_site_fract_y
_atom_site_fract_z
_atom_site_occupancy
Tb1 0.0000 0.0000 0.0000 1
Ce1 0.0000 0.0000 0.5846 1
Pm1 0.0000 0.0000 0.7539 1
Th1 0.0000 0.0000 0.1714 1
```

- Formation energy: 37 meV per atom
- Raw total energy: -5.646 eV/atom
- M_tot: 0.0 μB/f.u.
- E above lowest polymorph: 0.000 eV/atom

=====

Entry 16:
VASP calculation (PBE) on LaHoMg2Hg2 after structural relaxation.

```
data_LaHoMg2Hg2
_chemical_formula_sum 'La1 Ho1 Mg2 Hg2'
_symmetry_space_group_name_H-M 'P -3 m 1'
_symmetry_Int_Tables_number 164
_symmetry_space_group_name_Hall '-P 3 2"'
_cell_length_a 5.0509
_cell_length_b 5.0509
_cell_length_c 6.9057
_cell_angle_alpha 90.00
_cell_angle_beta 90.00
_cell_angle_gamma 120.00
loop_
_atom_site_label
_atom_site_fract_x
_atom_site_fract_y
_atom_site_fract_z
_atom_site_occupancy
La1 0.0000 0.0000 0.0000 1
Ho1 0.0000 0.0000 0.5000 1
Mg1 0.3333 0.6667 0.7328 1
Hg1 0.3333 0.6667 0.2626 1
```

- Formation energy: -348 meV per atom
- Raw total energy: -2.564 eV/atom
- M_tot: 0.0 μB/f.u.

=====

Entry 17:
VASP calculation (PBE) on NaMn3Se6 after structural relaxation.

```
data_NaMn3Se6
_chemical_formula_sum 'Na2 Mn6 Se12'
_symmetry_space_group_name_H-M 'P 1 21/m 1'
_symmetry_Int_Tables_number 11
_cell_length_a 11.1828
_cell_length_b 3.6370
_cell_length_c 11.2563
_cell_angle_alpha 90.00
_cell_angle_beta 107.47
_cell_angle_gamma 90.00
loop_
_symmetry_equiv_pos_as_xyz
'x,y,z'
'-x,-y,-z'
'-x,y+1/2,-z'
'x,-y+1/2,z'
loop_
_atom_site_label
_atom_site_fract_x
_atom_site_fract_y
_atom_site_fract_z
_atom_site_occupancy
Na1 0.0817 0.2500 0.3652 1
Mn1 0.1520 0.2500 0.0436 1
Mn2 0.2848 0.7500 0.7400 1
Mn3 0.4622 0.7500 0.3458 1
Se1 0.0473 0.7500 0.1324 1
Se2 0.1389 0.2500 0.6385 1
Se3 0.2520 0.7500 0.9602 1
Se4 0.3080 0.2500 0.2611 1
Se5 0.3912 0.7500 0.5479 1
Se6 0.4424 0.2500 0.8266 1
```

- Raw total energy: -5.506 eV/atom
- M_tot: 10.0 μB/f.u.
- Formation energy (no corrections): -5.3 eV/f.u.

=====

Entry 18:
VASP calculation (PBE) on BaZr2Pt after structural relaxation.

```
data_BaZr2Pt
_chemical_formula_sum 'Ba2 Zr4 Pt2'
_symmetry_space_group_name_H-M 'I m m 2'
_symmetry_Int_Tables_number 44
_cell_length_a 3.6691
_cell_length_b 5.0774
_cell_length_c 11.3221
_cell_angle_alpha 90.00
_cell_angle_beta 90.00
_cell_angle_gamma 90.00
loop_
_symmetry_equiv_pos_as_xyz
'x,y,z'
'-x,-y,z'
'-x,y,z'
'x,-y,z'
'x+1/2,y+1/2,z+1/2'
'-x+1/2,-y+1/2,z+1/2'
'-x+1/2,y+1/2,z+1/2'
'x+1/2,-y+1/2,z+1/2'
loop_
_atom_site_label
_atom_site_fract_x
_atom_site_fract_y
_atom_site_fract_z
_atom_site_occupancy
Ba1 0.0000 0.0000 0.0000 1
Zr1 0.0000 0.0000 0.3993 1
Zr2 0.0000 0.5000 0.2092 1
Pt1 0.0000 0.5000 0.7380 1
```

- Formation energy: 38 meV per atom
- Raw total energy: -6.227 eV/atom
- M_tot: 0.0 μB/f.u.
- E above lowest polymorph: 0.324 eV/atom

=====

Entry 19:
VASP calculation (PBE) on Rb3NaCr2Cl8 after structural relaxation.

```
data_Rb3NaCr2Cl8
_chemical_formula_sum 'Rb3 Na1 Cr2 Cl8'
_symmetry_space_group_name_H-M 'P -3 m 1'
_symmetry_Int_Tables_number 164
_symmetry_space_group_name_Hall '-P 3 2"'
_cell_length_a 7.3347
_cell_length_b 7.3347
_cell_length_c 9.4645
_cell_angle_alpha 90.00
_cell_angle_beta 90.00
_cell_angle_gamma 120.00
loop_
_atom_site_label
_atom_site_fract_x
_atom_site_fract_y
_atom_site_fract_z
_atom_site_occupancy
Rb1 0.0000 0.0000 0.0000 1
Rb2 0.3333 0.6667 0.6189 1
Na1 0.0000 0.0000 0.5000 1
Cr1 0.3333 0.6667 0.1987 1
Cl1 0.1691 0.3381 0.3154 1
Cl2 0.3333 0.6667 0.9555 1
```

- Raw total energy: -4.157 eV/atom
- M_tot: 8.0 μB/f.u.
- Formation energy (no corrections): -20.0 eV/f.u.

=====

Entry 20:
VASP calculation (PBE) on Sr2Te2W after structural relaxation.

```
data_Sr2Te2W
_chemical_formula_sum 'Sr4 Te4 W2'
_symmetry_space_group_name_H-M 'I 4/m m m'
_symmetry_Int_Tables_number 139
_symmetry_space_group_name_Hall '-I 4 2'
_cell_length_a 4.4127
_cell_length_b 4.4127
_cell_length_c 18.1037
_cell_angle_alpha 90.00
_cell_angle_beta 90.00
_cell_angle_gamma 90.00
loop_
_atom_site_label
_atom_site_fract_x
_atom_site_fract_y
_atom_site_fract_z
_atom_site_occupancy
Sr1 0.0000 0.0000 0.1029 1
Te1 0.0000 0.5000 0.2500 1
W1 0.0000 0.0000 0.5000 1
```

- Raw total energy: -4.004 eV/atom
- M_tot: 3.8 μB/f.u.
- Formation energy (no corrections): 2.6 eV/f.u.